InSiF2 PBE relaxed; space group = R-3m; energy = -4.406 eV/atom; spin magnetization = 0.00 Bohr magnetons per cell
1.0
1.724 0.000 8.164
-0.862 1.493 8.164
-0.862 -1.493 8.164
In F Si
1 2 1
Direct
0.500 0.500 0.500
0.072 0.072 0.072
0.928 0.928 0.928
0.000 0.000 0.000


In3SiF PBE relaxed; space group = Pm-3m; energy = -3.283 eV/atom; spin magnetization = 0.00 Bohr magnetons per cell
1.0
-1.464 -3.693 2.942
4.577 -1.867 -0.065
1.159 2.705 3.972
In Si F
3 1 1
Direct
0.500 0.000 0.000
0.000 0.000 0.500
0.000 0.500 0.000
0.500 0.500 0.500
0.000 0.000 0.000


InSiF2 PBE relaxed; space group = R-3m; energy = -4.059 eV/atom; spin magnetization = 0.00 Bohr magnetons per cell
1.0
4.256 -7.199 -0.355
3.777 -6.732 -3.236
6.073 -5.441 -1.891
Si F In
1 2 1
Direct
0.500 0.500 0.500
0.910 0.910 0.910
0.090 0.090 0.090
0.000 0.000 0.000


- Number 1 is which compound?
  InSiF2


- Which value of spin magnetization does entry 2 give?
  0.00 Bohr magnetons per cell


- What is the formula in the second record?
  In3SiF